Record 1
Density functional theory data (PBE) for a relaxed structure of TaCuHg2.

a = 6.123 Å, b = 8.608 Å, c = 2.834 Å
α = 90.00°, β = 90.00°, γ = 90.00°
Sites, in units of the cell vectors:
Ta (0.000, 0.000, 0.000)
Ta (0.500, 0.500, 0.000)
Cu (0.000, 0.500, 0.000)
Cu (0.500, 0.000, 0.000)
Hg (0.250, 0.250, 0.500)
Hg (0.250, 0.750, 0.500)
Hg (0.750, 0.250, 0.500)
Hg (0.750, 0.750, 0.500)

Summary:
The density of states at the Fermi level is 0.61 states/eV per atom. Its crystal system is orthorhombic. As for the calculated formation energy: 1.74 eV per formula unit. Its total energy is -3.70 eV/atom.



Record 2
Density functional theory data (PBE) for a relaxed structure of In2TcSe.

a = 3.544 Å, b = 4.862 Å, c = 9.141 Å
α = 90.00°, β = 90.00°, γ = 90.00°
Sites, in units of the cell vectors:
In (0.000, 0.000, 0.244)
In (0.000, 0.000, 0.756)
In (0.500, 0.500, 0.256)
In (0.500, 0.500, 0.744)
Tc (0.000, 0.500, 0.500)
Tc (0.500, 0.000, 0.000)
Se (0.000, 0.500, 0.000)
Se (0.500, 0.000, 0.500)

Summary:
The value obtained for the formation energy from raw total energies is 0.38 eV per atom. The density of states at the Fermi level is 0.88 states/eV per atom. Its crystal system is orthorhombic. Its total energy is -4.46 eV/atom.



Record 3
Density functional theory data (PBE) for a relaxed structure of Ce2UCr2N6.

a = 6.586 Å, b = 6.586 Å, c = 6.586 Å
α = 50.23°, β = 50.23°, γ = 50.23°
Sites, in units of the cell vectors:
Ce (0.209, 0.209, 0.209)
Ce (0.791, 0.791, 0.791)
U (0.000, 0.000, 0.000)
Cr (0.399, 0.399, 0.399)
Cr (0.601, 0.601, 0.601)
N (0.229, 0.746, 0.746)
N (0.254, 0.254, 0.771)
N (0.254, 0.771, 0.254)
N (0.746, 0.229, 0.746)
N (0.746, 0.746, 0.229)
N (0.771, 0.254, 0.254)

Summary:
The value obtained for the formation energy from raw total energies is -0.87 eV per atom. The density of states at the Fermi level is 1.26 states/eV per atom. Its crystal system is trigonal. Its total energy is -9.26 eV/atom.



Record 4
Density functional theory data (PBE) for a relaxed structure of YScS2Cl.

a = 5.246 Å, b = 5.246 Å, c = 5.045 Å
α = 90.00°, β = 90.00°, γ = 90.00°
Sites, in units of the cell vectors:
Y (0.000, 0.000, 0.000)
Sc (0.500, 0.500, 0.500)
S (0.000, 0.500, 0.000)
S (0.500, 0.000, 0.000)
Cl (0.000, 0.000, 0.500)

Summary:
The value obtained for the formation energy from raw total energies is -1.07 eV per atom. The density of states at the Fermi level is 1.18 states/eV per atom. Its crystal system is tetragonal. For the relative energy among the computed polymorphs, the calculation gives 294 meV/atom. Its total energy is -5.65 eV/atom.



Record 5
Density functional theory data (PBE) for a relaxed structure of Pm2DyHfSb4.

a = 7.546 Å, b = 4.357 Å, c = 7.552 Å
α = 90.00°, β = 109.31°, γ = 90.00°
Sites, in units of the cell vectors:
Pm (0.000, 0.000, 0.000)
Pm (0.500, 0.500, 0.000)
Dy (0.000, 0.500, 0.500)
Hf (0.500, 0.000, 0.500)
Sb (0.254, 0.000, 0.736)
Sb (0.265, 0.500, 0.270)
Sb (0.735, 0.500, 0.730)
Sb (0.746, 0.000, 0.264)

Summary:
The value obtained for the formation energy from raw total energies is -0.97 eV per atom. The density of states at the Fermi level is 0.18 states/eV per atom. Its crystal system is monoclinic. Its total energy is -6.04 eV/atom.



Record 6
Density functional theory data (PBE) for a relaxed structure of Tl2ZnTe.

a = 4.389 Å, b = 4.174 Å, c = 6.901 Å
α = 90.00°, β = 108.08°, γ = 90.00°
Sites, in units of the cell vectors:
Tl (0.000, 0.000, 0.000)
Tl (0.335, 0.500, 0.665)
Zn (0.763, 0.000, 0.513)
Te (0.617, 0.500, 0.240)

Summary:
The value obtained for the formation energy from raw total energies is -0.08 eV per atom. The density of states at the Fermi level is 0.31 states/eV per atom. Its crystal system is monoclinic. For the relative energy among the computed polymorphs, the calculation gives 0 meV/atom. Its total energy is -2.37 eV/atom.